# 1
Entry from Alexandria: an optimized crystal structure of TmSc2Sn (PBE-GGA).

Total moment ... 1.4 μB/cell
Formation energy from the elements ... -404 meV per atom
Crystal system ... tetragonal
SG ... P4/mmm
ρ ... 6.5 g cm⁻³

Cell: 4.598 4.598 4.582 Å, 90.00 90.00 90.00°
Element x y z (fractional)
1 Tm 0.000 0.000 0.000
2 Sc 0.000 0.500 0.500
3 Sc 0.500 0.000 0.500
4 Sn 0.500 0.500 0.000


# 2
Entry from Alexandria: an optimized crystal structure of TmScSn (PBE-GGA).

Total moment ... 0.0 μB/cell
Formation energy from the elements ... -260 meV per atom
Crystal system ... tetragonal
SG ... P4_2/m
ρ ... 6.5 g cm⁻³

Cell: 8.494 8.494 4.704 Å, 90.00 90.00 90.00°
Element x y z (fractional)
1 Tm 0.144 0.163 0.000
2 Tm 0.163 0.856 0.500
3 Tm 0.837 0.144 0.500
4 Tm 0.856 0.837 0.000
5 Sc 0.316 0.471 0.500
6 Sc 0.471 0.684 0.000
7 Sc 0.529 0.316 0.000
8 Sc 0.684 0.529 0.500
9 Sn 0.136 0.608 0.000
10 Sn 0.392 0.136 0.500
11 Sn 0.608 0.864 0.500
12 Sn 0.864 0.392 0.000


# 3
Entry from Alexandria: an optimized crystal structure of Tm3Sc4Sn4 (PBE-GGA).

Total moment ... 2.2 μB/cell
Formation energy from the elements ... -515 meV per atom
Crystal system ... orthorhombic
SG ... Immm
ρ ... 6.7 g cm⁻³

Cell: 9.282 9.282 9.282 Å, 154.30 123.03 63.50°
Element x y z (fractional)
1 Tm 0.000 0.000 0.000
2 Tm 0.387 0.887 0.500
3 Tm 0.613 0.113 0.500
4 Sc 0.024 0.326 0.699
5 Sc 0.373 0.674 0.699
6 Sc 0.627 0.326 0.301
7 Sc 0.976 0.674 0.301
8 Sn 0.239 0.239 0.000
9 Sn 0.290 0.500 0.790
10 Sn 0.710 0.500 0.210
11 Sn 0.761 0.761 0.000


# 4
Entry from Alexandria: an optimized crystal structure of TmSc6Sn4 (PBE-GGA).

Total moment ... 1.7 μB/cell
Formation energy from the elements ... -267 meV per atom
Crystal system ... tetragonal
SG ... I-42m
ρ ... 5.0 g cm⁻³

Cell: 7.674 7.674 7.674 Å, 122.55 122.55 85.64°
Element x y z (fractional)
1 Tm 0.000 0.000 0.000
2 Sc 0.000 0.500 0.500
3 Sc 0.160 0.160 0.662
4 Sc 0.498 0.498 0.338
5 Sc 0.500 0.000 0.500
6 Sc 0.502 0.840 0.000
7 Sc 0.840 0.502 0.000
8 Sn 0.186 0.621 0.000
9 Sn 0.379 0.379 0.565
10 Sn 0.621 0.186 0.000
11 Sn 0.814 0.814 0.435


# 5
Entry from Alexandria: an optimized crystal structure of TmSc6Sn3 (PBE-GGA).

Total moment ... 0.0 μB/cell
Formation energy from the elements ... -338 meV per atom
Crystal system ... orthorhombic
SG ... Cmc2_1
ρ ... 5.1 g cm⁻³

Cell: 8.671 8.671 7.289 Å, 90.00 90.00 109.62°
Element x y z (fractional)
1 Tm 0.209 0.791 0.500
2 Tm 0.791 0.209 0.000
3 Sc 0.043 0.957 0.183
4 Sc 0.063 0.436 0.705
5 Sc 0.257 0.329 0.013
6 Sc 0.277 0.723 0.009
7 Sc 0.329 0.257 0.513
8 Sc 0.436 0.063 0.205
9 Sc 0.564 0.937 0.705
10 Sc 0.671 0.743 0.013
11 Sc 0.723 0.277 0.509
12 Sc 0.743 0.671 0.513
13 Sc 0.937 0.564 0.205
14 Sc 0.957 0.043 0.683
15 Sn 0.044 0.296 0.335
16 Sn 0.296 0.044 0.835
17 Sn 0.422 0.578 0.718
18 Sn 0.578 0.422 0.218
19 Sn 0.704 0.956 0.335
20 Sn 0.956 0.704 0.835


# 6
Entry from Alexandria: an optimized crystal structure of Tm3ScSn3 (PBE-GGA).

Total moment ... 0.0 μB/cell
Formation energy from the elements ... -323 meV per atom
Crystal system ... hexagonal
SG ... P6_3/m
ρ ... 6.8 g cm⁻³

Cell: 9.192 9.192 6.048 Å, 90.00 90.00 120.00°
Element x y z (fractional)
1 Tm 0.030 0.337 0.250
2 Tm 0.307 0.970 0.250
3 Tm 0.337 0.307 0.750
4 Tm 0.663 0.693 0.250
5 Tm 0.693 0.030 0.750
6 Tm 0.970 0.663 0.750
7 Sc 0.333 0.667 0.750
8 Sc 0.667 0.333 0.250
9 Sn 0.019 0.351 0.750
10 Sn 0.332 0.981 0.750
11 Sn 0.351 0.332 0.250
12 Sn 0.649 0.668 0.750
13 Sn 0.668 0.019 0.250
14 Sn 0.981 0.649 0.250


# 7
Entry from Alexandria: an optimized crystal structure of ScUSn2 (PBE-GGA).

Total moment ... 3.6 μB/cell
Formation energy from the elements ... -164 meV per atom
Crystal system ... cubic
SG ... Fm-3m
ρ ... 8.8 g cm⁻³

Cell: 5.186 5.186 5.186 Å, 60.00 60.00 60.00°
Element x y z (fractional)
1 Sc 0.000 0.000 0.000
2 U 0.500 0.500 0.500
3 Sn 0.250 0.250 0.250
4 Sn 0.750 0.750 0.750


# 8
Entry from Alexandria: an optimized crystal structure of ScUSn2 (PBE-GGA).

Total moment ... 3.4 μB/cell
Formation energy from the elements ... -218 meV per atom
Crystal system ... tetragonal
SG ... P4/mmm
ρ ... 8.8 g cm⁻³

Cell: 3.813 3.813 6.726 Å, 90.00 90.00 90.00°
Element x y z (fractional)
1 Sc 0.000 0.000 0.000
2 U 0.000 0.000 0.500
3 Sn 0.500 0.500 0.228
4 Sn 0.500 0.500 0.772


# 9
Entry from Alexandria: an optimized crystal structure of ScUSn2 (PBE-GGA).

Total moment ... 3.3 μB/cell
Formation energy from the elements ... -210 meV per atom
Crystal system ... tetragonal
SG ... P4/mmm
ρ ... 8.8 g cm⁻³

Cell: 4.792 4.792 4.279 Å, 90.00 90.00 90.00°
Element x y z (fractional)
1 Sc 0.000 0.000 0.000
2 U 0.500 0.500 0.000
3 Sn 0.000 0.500 0.500
4 Sn 0.500 0.000 0.500


# 10
Entry from Alexandria: an optimized crystal structure of ScVSn3 (PBE-GGA).

Total moment ... 0.5 μB/cell
Formation energy from the elements ... 275 meV per atom
Crystal system ... cubic
SG ... Pm-3m
ρ ... 5.7 g cm⁻³

Cell: 5.091 5.091 5.091 Å, 90.00 90.00 90.00°
Element x y z (fractional)
1 Sc 0.000 0.000 0.000
2 V 0.500 0.500 0.500
3 Sn 0.000 0.500 0.500
4 Sn 0.500 0.000 0.500
5 Sn 0.500 0.500 0.000


# 11
Entry from Alexandria: an optimized crystal structure of ScV2Sn2 (PBE-GGA).

Total moment ... 0.0 μB/cell
Formation energy from the elements ... -65 meV per atom
Crystal system ... tetragonal
SG ... I4/mmm
ρ ... 6.5 g cm⁻³

Cell: 7.097 7.097 7.097 Å, 148.32 148.32 45.41°
Element x y z (fractional)
1 Sc 0.000 0.000 0.000
2 V 0.250 0.750 0.500
3 V 0.750 0.250 0.500
4 Sn 0.394 0.394 0.000
5 Sn 0.606 0.606 0.000


# 12
Entry from Alexandria: an optimized crystal structure of ScVSn (PBE-GGA).

Total moment ... 0.3 μB/cell
Formation energy from the elements ... -130 meV per atom
Crystal system ... tetragonal
SG ... I4mm
ρ ... 6.2 g cm⁻³

Cell: 5.332 5.332 5.332 Å, 141.80 141.80 55.12°
Element x y z (fractional)
1 Sc 0.000 0.000 0.000
2 V 0.664 0.664 0.000
3 Sn 0.314 0.314 0.000


# 13
Entry from Alexandria: an optimized crystal structure of Sc2VSn2 (PBE-GGA).

Total moment ... 4.8 μB/cell
Formation energy from the elements ... -330 meV per atom
Crystal system ... tetragonal
SG ... P4/mbm
ρ ... 5.7 g cm⁻³

Cell: 7.254 7.254 4.200 Å, 90.00 90.00 90.00°
Element x y z (fractional)
1 Sc 0.168 0.332 0.000
2 Sc 0.332 0.832 0.000
3 Sc 0.668 0.168 0.000
4 Sc 0.832 0.668 0.000
5 V 0.000 0.000 0.500
6 V 0.500 0.500 0.500
7 Sn 0.140 0.640 0.500
8 Sn 0.360 0.140 0.500
9 Sn 0.640 0.860 0.500
10 Sn 0.860 0.360 0.500


# 14
Entry from Alexandria: an optimized crystal structure of ScV2Sn2 (PBE-GGA).

Total moment ... 0.0 μB/cell
Formation energy from the elements ... 2 meV per atom
Crystal system ... tetragonal
SG ... P4/mbm
ρ ... 6.7 g cm⁻³

Cell: 7.520 7.520 3.380 Å, 90.00 90.00 90.00°
Element x y z (fractional)
1 Sc 0.000 0.000 0.000
2 Sc 0.500 0.500 0.000
3 V 0.152 0.348 0.500
4 V 0.348 0.848 0.500
5 V 0.652 0.152 0.500
6 V 0.848 0.652 0.500
7 Sn 0.143 0.643 0.000
8 Sn 0.357 0.143 0.000
9 Sn 0.643 0.857 0.000
10 Sn 0.857 0.357 0.000


# 15
Entry from Alexandria: an optimized crystal structure of ScVSn (PBE-GGA).

Total moment ... 0.0 μB/cell
Formation energy from the elements ... 62 meV per atom
Crystal system ... monoclinic
SG ... C2/m
ρ ... 5.7 g cm⁻³

Cell: 5.384 5.384 7.666 Å, 98.32 98.32 34.57°
Element x y z (fractional)
1 Sc 0.057 0.057 0.215
2 Sc 0.943 0.943 0.785
3 V 0.328 0.328 0.057
4 V 0.672 0.672 0.943
5 Sn 0.356 0.356 0.417
6 Sn 0.644 0.644 0.583


# 16
Entry from Alexandria: an optimized crystal structure of Sc4VSn2 (PBE-GGA).

Total moment ... 0.4 μB/cell
Formation energy from the elements ... 52 meV per atom
Crystal system ... tetragonal
SG ... I4/mmm
ρ ... 4.6 g cm⁻³

Cell: 8.484 8.484 8.484 Å, 148.37 148.37 45.34°
Element x y z (fractional)
1 Sc 0.000 0.500 0.500
2 Sc 0.176 0.176 0.000
3 Sc 0.500 0.000 0.500
4 Sc 0.824 0.824 0.000
5 V 0.000 0.000 0.000
6 Sn 0.363 0.363 0.000
7 Sn 0.637 0.637 0.000


# 17
Entry from Alexandria: an optimized crystal structure of ScV2Sn2 (PBE-GGA).

Total moment ... 0.0 μB/cell
Formation energy from the elements ... 0 meV per atom
Crystal system ... tetragonal
SG ... P4/mbm
ρ ... 6.7 g cm⁻³

Cell: 7.993 7.993 2.986 Å, 90.00 90.00 90.00°
Element x y z (fractional)
1 Sc 0.000 0.000 0.000
2 Sc 0.500 0.500 0.000
3 V 0.104 0.396 0.000
4 V 0.396 0.896 0.000
5 V 0.604 0.104 0.000
6 V 0.896 0.604 0.000
7 Sn 0.186 0.686 0.500
8 Sn 0.314 0.186 0.500
9 Sn 0.686 0.814 0.500
10 Sn 0.814 0.314 0.500


# 18
Entry from Alexandria: an optimized crystal structure of ScSn3W (PBE-GGA).

Total moment ... 0.5 μB/cell
Formation energy from the elements ... 594 meV per atom
Crystal system ... cubic
SG ... Pm-3m
ρ ... 6.7 g cm⁻³

Cell: 5.245 5.245 5.245 Å, 90.00 90.00 90.00°
Element x y z (fractional)
1 Sc 0.000 0.000 0.000
2 Sn 0.000 0.500 0.500
3 Sn 0.500 0.000 0.500
4 Sn 0.500 0.500 0.000
5 W 0.500 0.500 0.500


# 19
Entry from Alexandria: an optimized crystal structure of Sc2SnW (PBE-GGA).

Total moment ... 0.0 μB/cell
Formation energy from the elements ... 316 meV per atom
Crystal system ... trigonal
SG ... R-3m
ρ ... 7.2 g cm⁻³

Cell: 10.686 10.686 10.686 Å, 16.92 16.92 16.92°
Element x y z (fractional)
1 Sc 0.096 0.096 0.096
2 Sc 0.904 0.904 0.904
3 Sn 0.000 0.000 0.000
4 W 0.500 0.500 0.500


# 20
Entry from Alexandria: an optimized crystal structure of Sc3SnW (PBE-GGA).

Total moment ... 3.1 μB/cell
Formation energy from the elements ... 1222 meV per atom
Crystal system ... cubic
SG ... Pm-3m
ρ ... 5.0 g cm⁻³

Cell: 5.244 5.244 5.244 Å, 90.00 90.00 90.00°
Element x y z (fractional)
1 Sc 0.000 0.000 0.500
2 Sc 0.000 0.500 0.000
3 Sc 0.500 0.000 0.000
4 Sn 0.000 0.000 0.000
5 W 0.500 0.500 0.500